Material: TlRhO2
Method: DFT, PBE-GGA
State: optimized geometry

Computed properties:
Energy relative to the elements, uncorrected in eV/atom: -0.610
E_tot in eV/atom: -5.52
Size of the total moment in μB/f.u.: 0.0

Unit cell a=3.2221 b=3.2222 c=6.4711 alpha=89.59 beta=89.66 gamma=60.02
Space group P1 (No. 1)
Asymmetric unit:
Tl 0.0000 0.0000 0.0000
Rh 0.0093 0.0066 0.5000
O 0.3435 0.3414 0.3530
O 0.6749 0.6715 0.6470

***

Material: TlRh2O5
Method: DFT, PBE-GGA
State: optimized geometry

Computed properties:
Energy relative to the elements, uncorrected in eV/atom: -0.634
E_tot in eV/atom: -5.87
Size of the total moment in μB/f.u.: 0.0

Unit cell a=3.9317 b=10.5060 c=9.8760 alpha=90.00 beta=90.00 gamma=90.00
Space group Cmcm (No. 63)
Asymmetric unit:
Tl 0.0000 0.0816 0.2500
Rh 0.0000 0.3588 0.0572
O 0.0000 0.1726 0.5138
O 0.0000 0.2935 0.2500
O 0.0000 0.4575 0.6174

***

Material: TlRhO2
Method: DFT, PBE-GGA
State: optimized geometry

Computed properties:
Energy relative to the elements, uncorrected in eV/atom: -0.216
E_tot in eV/atom: -5.12
Size of the total moment in μB/f.u.: 1.1

Unit cell a=3.2937 b=3.2937 c=19.6532 alpha=90.00 beta=90.00 gamma=120.00
Space group R-3m (No. 166, hexagonal axes)
Asymmetric unit:
Tl 0.0000 0.0000 0.0000
Rh 0.0000 0.0000 0.5000
O 0.0000 0.0000 0.4017

***

Material: TlRhO2
Method: DFT, PBE-GGA
State: optimized geometry

Computed properties:
Energy relative to the elements, uncorrected in eV/atom: -0.523
E_tot in eV/atom: -5.43
Size of the total moment in μB/f.u.: 0.0

Unit cell a=5.5665 b=3.1464 c=14.0091 alpha=90.00 beta=90.00 gamma=90.00
Space group Pnma (No. 62)
Asymmetric unit:
Tl 0.0500 0.2500 0.1530
Rh 0.1093 0.7500 0.4146
O 0.0057 0.7500 0.6665
O 0.1983 0.2500 0.5052

***

Material: TlRhO2
Method: DFT, PBE-GGA
State: optimized geometry

Computed properties:
Energy relative to the elements, uncorrected in eV/atom: -0.588
E_tot in eV/atom: -5.50
Size of the total moment in μB/f.u.: 0.0

Unit cell a=11.1236 b=3.2075 c=7.7104 alpha=90.00 beta=118.89 gamma=90.00
Space group C2/m (No. 12)
Asymmetric unit:
Tl 0.0608 0.0000 0.3055
Rh 0.2440 0.0000 0.1667
O 0.1400 0.0000 0.6656
O 0.1419 0.5000 0.9783

***

Material: Tl3RhO4
Method: DFT, PBE-GGA
State: optimized geometry

Computed properties:
Energy relative to the elements, uncorrected in eV/atom: -0.460
E_tot in eV/atom: -4.75
Size of the total moment in μB/f.u.: 2.0

Unit cell a=6.5411 b=6.5411 c=6.8511 alpha=90.00 beta=90.00 gamma=90.00
Space group I4/mmm (No. 139)
Asymmetric unit:
Tl 0.0000 0.0000 0.0000
Tl 0.0000 0.5000 0.2500
Rh 0.0000 0.0000 0.5000
O 0.2053 0.2053 0.5000